Record 1
This record from Alexandria via LeMat-Bulk describes a relaxed structure of MgZn2RhF. The functional is PBEsol.

abc: 4.3295 4.3295 3.7241
angles: 90.00 90.00 90.00
Last column: nearest neighbours and their distance in Å.
Space group P4/mmm (No. 123)
Inequivalent atoms, fractional coordinates:
Mg1 0.0000 0.0000 0.0000 x1  2 F 1.86
Zn1 0.0000 0.5000 0.5000 x2  2 F 2.16
Rh1 0.5000 0.5000 0.0000 x1  8 Zn 2.86, 4 Mg 3.06
F1 0.0000 0.0000 0.5000 x1  2 Mg 1.86

Values from the calculation:
The value obtained for the total magnetization is 0.0 μB/f.u. As for the volume: 69.8 Å³/f.u. The crystal system is tetragonal. The calculation puts the uncorrected formation energy at -607 meV per atom.

=====

Record 2
This record from Alexandria via LeMat-Bulk describes a relaxed structure of MgRuF3. The functional is PBEsol.

abc: 4.1342 4.1342 4.1342
angles: 90.00 90.00 90.00
Last column: nearest neighbours and their distance in Å.
Space group Pm-3m (No. 221)
Inequivalent atoms, fractional coordinates:
Mg1 0.0000 0.0000 0.0000 x1  12 F 2.92
Ru1 0.5000 0.5000 0.5000 x1  6 F 2.07
F1 0.0000 0.5000 0.5000 x3  2 Ru 2.07

Values from the calculation:
The value obtained for the total magnetization is 0.7 μB/f.u. As for the volume: 70.7 Å³/f.u. The crystal system is cubic. The calculation puts the uncorrected formation energy at -1041 meV per atom.

=====

Record 3
This record from Alexandria via LeMat-Bulk describes a relaxed structure of MgRuF2. The functional is PBEsol.

abc: 2.9361 2.9361 22.1477
angles: 90.00 90.00 120.00
Last column: nearest neighbours and their distance in Å.
Space group R-3m (No. 166, hexagonal axes)
Inequivalent atoms, fractional coordinates:
Mg1 0.0000 0.0000 0.0000 x3  2 F 1.97
Ru1 0.0000 0.0000 0.5000 x3  6 F 2.42
F1 0.0000 0.0000 0.0888 x6  1 Mg 1.97

Values from the calculation:
The value obtained for the total magnetization is 3.0 μB/f.u. As for the volume: 55.1 Å³/f.u. The crystal system is trigonal. The calculation puts the uncorrected formation energy at -792 meV per atom.

=====

Record 4
This record from Alexandria via LeMat-Bulk describes a relaxed structure of MgZnRuF2. The functional is PBEsol.

abc: 3.6380 3.6380 7.1226
angles: 90.00 90.00 90.00
Last column: nearest neighbours and their distance in Å.
Space group P4/mmm (No. 123)
Inequivalent atoms, fractional coordinates:
Mg1 0.0000 0.0000 0.0000 x1  4 F 1.82
Zn1 0.5000 0.5000 0.5000 x1  4 Ru 2.57
Ru1 0.0000 0.0000 0.5000 x1  4 Zn 2.57
F1 0.0000 0.5000 0.0000 x2  2 Mg 1.82

Values from the calculation:
The value obtained for the total magnetization is 1.8 μB/f.u. As for the volume: 94.3 Å³/f.u. The crystal system is tetragonal. The calculation puts the uncorrected formation energy at -1037 meV per atom.

=====

Record 5
This record from Alexandria via LeMat-Bulk describes a relaxed structure of MgSF2. The functional is PBEsol.

abc: 2.8867 2.8867 27.5064
angles: 90.00 90.00 120.00
Last column: nearest neighbours and their distance in Å.
Space group R-3m (No. 166, hexagonal axes)
Inequivalent atoms, fractional coordinates:
Mg1 0.0000 0.0000 0.0000 x3  6 F 1.95
S1 0.0000 0.0000 0.5000 x3  6 S 2.89
F1 0.0000 0.0000 0.3701 x6  3 Mg 1.95

Values from the calculation:
The value obtained for the total magnetization is 0.3 μB/f.u. As for the volume: 66.2 Å³/f.u. The crystal system is trigonal. The calculation puts the uncorrected formation energy at -2165 meV per atom.

=====

Record 6
This record from Alexandria via LeMat-Bulk describes a relaxed structure of MgSi2SF. The functional is PBEsol.

abc: 5.0220 5.0220 3.6588
angles: 90.00 90.00 90.00
Last column: nearest neighbours and their distance in Å.
Space group P4/mmm (No. 123)
Inequivalent atoms, fractional coordinates:
Mg1 0.0000 0.0000 0.0000 x1  2 F 1.83
Si1 0.0000 0.5000 0.0000 x2  2 Mg 2.51
S1 0.5000 0.5000 0.5000 x1  8 Si 3.11
F1 0.0000 0.0000 0.5000 x1  2 Mg 1.83

Values from the calculation:
The value obtained for the total magnetization is 0.0 μB/f.u. As for the volume: 92.3 Å³/f.u. The crystal system is tetragonal. The calculation puts the uncorrected formation energy at -95 meV per atom.

=====

Record 7
This record from Alexandria via LeMat-Bulk describes a relaxed structure of MgSbF5. The functional is PBEsol.

abc: 5.5888 9.9786 7.9541
angles: 90.00 120.58 90.00
Last column: nearest neighbours and their distance in Å.
Space group P2_1/c (No. 14)
Inequivalent atoms, fractional coordinates:
Mg1 0.0293 0.0258 0.3101 x4  6 F 1.96-2.07
Sb1 0.4458 0.7236 0.6721 x4  4 F 2.02-2.20
F1 0.1399 0.6027 0.0362 x4  2 Mg 2.03-2.04
F2 0.1959 0.6765 0.3865 x4  1 Sb 2.03, 1 Mg 2.07
F3 0.2114 0.5645 0.6856 x4  1 Mg 1.96, 1 Sb 2.10
F4 0.3085 0.0822 0.8455 x4  1 Mg 1.97, 1 Sb 2.02
F5 0.3417 0.1541 0.4432 x4  1 Mg 1.98, 1 Sb 2.20

Values from the calculation:
The value obtained for the total magnetization is 0.0 μB/f.u. As for the volume: 95.5 Å³/f.u. The crystal system is monoclinic. The calculation puts the uncorrected formation energy at -2844 meV per atom.

=====

Record 8
This record from Alexandria via LeMat-Bulk describes a relaxed structure of MgScF2. The functional is PBEsol.

abc: 3.3488 3.3488 18.2785
angles: 90.00 90.00 120.00
Last column: nearest neighbours and their distance in Å.
Space group R-3m (No. 166, hexagonal axes)
Inequivalent atoms, fractional coordinates:
Mg1 0.0000 0.0000 0.0000 x3  6 F 2.10
Sc1 0.0000 0.0000 0.5000 x3  2 F 2.22
F1 0.0000 0.0000 0.3786 x6  3 Mg 2.10, 1 Sc 2.22

Values from the calculation:
The value obtained for the total magnetization is 1.0 μB/f.u. As for the volume: 59.2 Å³/f.u. The crystal system is trigonal. The calculation puts the uncorrected formation energy at -2295 meV per atom.